Record 1
Tb2YGa6 | PBE | relaxed

a = 4.3217 Å, b = 6.9928 Å, c = 7.8525 Å
α = 116.44°, β = 105.97°, γ = 90.00°
Positions (direct):
Ga1 0.3163 0.1240 0.6326
Ga2 0.6837 0.8760 0.3674
Tb1 0.1263 0.1263 0.2526
Y1 0.0000 0.5000 0.0000
Tb2 0.8737 0.8737 0.7474
Ga3 0.5000 0.8099 0.0000
Ga4 0.5000 0.1901 0.0000
Ga5 0.3163 0.5086 0.6326
Ga6 0.6837 0.4914 0.3674

Values from the calculation:
Theoretical density   6.8 g cm⁻³
ΔH_f (0 K)   -408 kJ/mol of formula units
N(E_F)   4.890 states/eV/f.u.
Space group   No. 71
Energy relative to the lowest polymorph listed for this composition   0.1828 eV/atom

---

Record 2
LuThHgRu | PBE | relaxed

a = 5.0997 Å, b = 5.0997 Å, c = 5.0997 Å
α = 60.00°, β = 60.00°, γ = 60.00°
Positions (direct):
Ru1 0.2500 0.2500 0.2500
Lu1 0.0000 0.0000 0.0000
Th1 0.5000 0.5000 0.5000
Hg1 0.7500 0.7500 0.7500

Values from the calculation:
Theoretical density   12.5 g cm⁻³
ΔH_f (0 K)   -117 kJ/mol of formula units
N(E_F)   3.202 states/eV/f.u.
Space group   No. 216

---

Record 3
K2Tl15Bi2 | PBE | relaxed

a = 8.7322 Å, b = 8.7322 Å, c = 8.7322 Å
α = 82.74°, β = 82.74°, γ = 82.74°
Positions (direct):
Tl1 0.0000 0.0000 0.5000
Bi1 0.9034 0.9034 0.9034
Tl2 0.2965 0.0000 0.7035
Bi2 0.0966 0.0966 0.0966
Tl3 0.3476 0.8476 0.3476
Tl4 0.0000 0.2965 0.7035
Tl5 0.5000 0.0000 0.0000
Tl6 0.7035 0.2965 0.0000
Tl7 0.0000 0.7035 0.2965
Tl8 0.6524 0.1524 0.6524
K1 0.3353 0.3353 0.3353
Tl9 0.0000 0.5000 0.0000
Tl10 0.1524 0.6524 0.6524
Tl11 0.3476 0.3476 0.8476
K2 0.6647 0.6647 0.6647
Tl12 0.7035 0.0000 0.2965
Tl13 0.8476 0.3476 0.3476
Tl14 0.2965 0.7035 0.0000
Tl15 0.6524 0.6524 0.1524

Values from the calculation:
Theoretical density   9.1 g cm⁻³
ΔH_f (0 K)   -52 kJ/mol of formula units
N(E_F)   8.829 states/eV/f.u.
Space group   No. 166

---

Record 4
HgRu | PBE | relaxed

a = 4.3125 Å, b = 4.3125 Å, c = 4.3125 Å
α = 60.00°, β = 60.00°, γ = 60.00°
Each line ends with the local moment (μB).
Positions (direct):
Ru1 0.7500 0.7500 0.7500  1.99
Hg1 0.0000 0.0000 0.0000  0.04

Values from the calculation:
Theoretical density   8.8 g cm⁻³
ΔH_f (0 K)   352 kJ/mol of formula units
N(E_F)   2.042 states/eV/f.u.
Space group   No. 216

---

Record 5
LaCeHoAl | PBE | relaxed

a = 5.4480 Å, b = 5.4480 Å, c = 5.4480 Å
α = 60.00°, β = 60.00°, γ = 60.00°
Each line ends with the local moment (μB).
Positions (direct):
Ce1 0.7500 0.7500 0.7500  0.71
La1 0.2500 0.2500 0.2500  0.05
Al1 0.5000 0.5000 0.5000  0.00
Ho1 0.0000 0.0000 0.0000  0.18

Values from the calculation:
Theoretical density   6.8 g cm⁻³
ΔH_f (0 K)   -4 kJ/mol of formula units
N(E_F)   9.978 states/eV/f.u.
Space group   No. 216

---

Record 6
Nb2Cd2Sn | PBE | relaxed

a = 3.9337 Å, b = 3.9337 Å, c = 7.6435 Å
α = 75.09°, β = 75.09°, γ = 90.00°
Positions (direct):
Sn1 0.0000 0.0000 0.0000
Cd1 0.7500 0.2500 0.5000
Nb1 0.4147 0.4147 0.1706
Nb2 0.5853 0.5853 0.8294
Cd2 0.2500 0.7500 0.5000

Values from the calculation:
Theoretical density   8.0 g cm⁻³
ΔH_f (0 K)   175 kJ/mol of formula units
N(E_F)   1.268 states/eV/f.u.
Space group   No. 139

---

Record 7
La3Al4Pt2 | PBE | relaxed

a = 4.3797 Å, b = 6.0612 Å, c = 9.2031 Å
α = 109.07°, β = 90.00°, γ = 111.18°
Positions (direct):
Pt1 0.6640 0.3279 0.3014
Al1 0.7302 0.4604 0.0677
Al2 0.2698 0.5396 0.9323
Al3 0.8472 0.6944 0.5664
Al4 0.1528 0.3056 0.4336
La1 0.0000 0.0000 0.0000
Pt2 0.3360 0.6721 0.6986
La2 0.3996 0.7991 0.3127
La3 0.6004 0.2009 0.6873

Values from the calculation:
Theoretical density   7.1 g cm⁻³
ΔH_f (0 K)   -706 kJ/mol of formula units
N(E_F)   6.924 states/eV/f.u.
Space group   No. 12

---

Record 8
Na3Ac2HfS6 | PBE | relaxed

a = 7.1712 Å, b = 7.1712 Å, c = 7.1579 Å
α = 99.61°, β = 99.61°, γ = 120.09°
Positions (direct):
S1 0.6263 0.9211 0.7660
S2 0.3737 0.0789 0.2340
S3 0.7795 0.7795 0.2261
Na1 0.8400 0.1600 0.5000
Ac1 0.3322 0.6678 0.0000
Na2 0.1600 0.8400 0.5000
Hf1 0.0000 0.0000 0.0000
Ac2 0.6678 0.3322 0.0000
Na3 0.5000 0.5000 0.5000
S4 0.0789 0.3737 0.2340
S5 0.9211 0.6263 0.7660
S6 0.2205 0.2205 0.7739

Values from the calculation:
Theoretical density   4.9 g cm⁻³
Formation energy (no corrections)   -19.599 eV/f.u.
N(E_F)   4.344 states/eV/f.u.
Space group   No. 12

---

Record 9
Ba2SrPb2 | PBE | relaxed

a = 10.3111 Å, b = 10.3111 Å, c = 3.9182 Å
α = 90.00°, β = 90.00°, γ = 90.00°
Positions (direct):
Ba1 0.6242 0.1242 0.0000
Sr1 0.5000 0.5000 0.0000
Ba2 0.8758 0.6242 0.0000
Pb1 0.8244 0.3244 0.5000
Sr2 0.0000 0.0000 0.0000
Pb2 0.3244 0.1756 0.5000
Pb3 0.6756 0.8244 0.5000
Ba3 0.3758 0.8758 0.0000
Pb4 0.1756 0.6756 0.5000
Ba4 0.1242 0.3758 0.0000

Values from the calculation:
Theoretical density   6.2 g cm⁻³
ΔH_f (0 K)   -182 kJ/mol of formula units
N(E_F)   3.740 states/eV/f.u.
Space group   No. 127
Energy relative to the lowest polymorph listed for this composition   0.1479 eV/atom

---

Record 10
HfRhSe3 | PBE | relaxed

a = 5.1248 Å, b = 5.1248 Å, c = 5.1248 Å
α = 90.00°, β = 90.00°, γ = 90.00°
Each line ends with the local moment (μB).
Positions (direct):
Rh1 0.5000 0.5000 0.5000  1.63
Se1 0.0000 0.0000 0.5000  0.20
Se2 0.0000 0.5000 0.0000  0.23
Se3 0.5000 0.0000 0.0000  0.16
Hf1 0.0000 0.0000 0.0000  -0.02

Values from the calculation:
Theoretical density   6.4 g cm⁻³
Formation energy (no corrections)   0.855 eV/f.u.
N(E_F)   5.122 states/eV/f.u.
Space group   No. 221
Energy relative to the lowest polymorph listed for this composition   0.0000 eV/atom

---

Record 11
Pm2Nd3Tm5 | PBE | relaxed

a = 9.3635 Å, b = 9.3534 Å, c = 11.1549 Å
α = 124.69°, β = 124.71°, γ = 69.08°
Positions (direct):
Nd1 0.9724 0.2251 0.7462
Tm1 0.7287 0.4787 0.9575
Tm2 0.3628 0.1166 0.7281
Nd2 0.2738 0.5211 0.7462
Nd3 0.7262 0.4789 0.2538
Tm3 0.8653 0.6116 0.7281
Tm4 0.5262 0.2762 0.5524
Tm5 0.2713 0.5213 0.0425
Pm1 0.7672 0.0201 0.7404
Tm6 0.9743 0.2243 0.4487
Tm7 0.0257 0.7757 0.5513
Nd4 0.2322 0.9822 0.9644
Pm2 0.2328 0.9799 0.2596
Tm8 0.4738 0.7238 0.4476
Pm3 0.5268 0.2797 0.2596
Tm9 0.6372 0.8834 0.2719
Nd5 0.7678 0.0178 0.0356
Tm10 0.1347 0.3884 0.2719
Nd6 0.0276 0.7749 0.2538
Pm4 0.4732 0.7203 0.7404

Values from the calculation:
Theoretical density   7.9 g cm⁻³
ΔH_f (0 K)   175 kJ/mol of formula units
N(E_F)   15.659 states/eV/f.u.
Space group   No. 15

---

Record 12
Rb3BiH | PBE | relaxed

a = 5.8117 Å, b = 5.8117 Å, c = 5.8117 Å
α = 90.00°, β = 90.00°, γ = 90.00°
Each line ends with the local moment (μB).
Positions (direct):
H1 0.0000 0.0000 0.0000  0.00
Rb1 0.0000 0.0000 0.5000  0.00
Rb2 0.5000 0.0000 0.0000  0.01
Rb3 0.0000 0.5000 0.0000  0.01
Bi1 0.5000 0.5000 0.5000  0.54

Values from the calculation:
Theoretical density   3.9 g cm⁻³
N(E_F)   3.973 states/eV/f.u.
Space group   No. 221
Energy relative to the lowest polymorph listed for this composition   0.0000 eV/atom

---

Record 13
YAl2Te | PBE | relaxed

a = 8.1167 Å, b = 8.1167 Å, c = 8.1167 Å
α = 27.91°, β = 27.91°, γ = 27.91°
Positions (direct):
Al1 0.2571 0.2571 0.2571
Y1 0.7489 0.7489 0.7489
Al2 0.9894 0.9894 0.9894
Te1 0.5046 0.5046 0.5046

Values from the calculation:
Theoretical density   4.3 g cm⁻³
Formation energy (no corrections)   -0.974 eV/f.u.
N(E_F)   2.686 states/eV/f.u.
Space group   No. 160

---

Record 14
LiAlAg4 | PBE | relaxed

a = 4.5183 Å, b = 4.5182 Å, c = 10.3062 Å
α = 101.84°, β = 101.86°, γ = 94.70°
Positions (direct):
Al1 0.0000 0.0000 0.5000
Ag1 0.6750 0.6748 0.8475
Li1 0.2500 0.7500 0.0000
Ag2 0.1749 0.1748 0.8475
Ag3 0.4201 0.9198 0.3406
Ag4 0.3250 0.3252 0.1525
Ag5 0.9200 0.4198 0.3406
Ag6 0.8251 0.8252 0.1525
Ag7 0.0800 0.5802 0.6594
Al2 0.5000 0.5000 0.5000
Li2 0.7500 0.2500 0.0000
Ag8 0.5799 0.0802 0.6594

Values from the calculation:
Theoretical density   7.7 g cm⁻³
ΔH_f (0 K)   -46 kJ/mol of formula units
N(E_F)   1.576 states/eV/f.u.
Space group   No. 10
Energy relative to the lowest polymorph listed for this composition   0.0359 eV/atom

---

Record 15
LiHoPtPb | PBE | relaxed

a = 4.8158 Å, b = 4.8158 Å, c = 4.8158 Å
α = 60.00°, β = 60.00°, γ = 60.00°
Positions (direct):
Li1 0.2500 0.2500 0.2500
Pt1 0.7500 0.7500 0.7500
Pb1 0.5000 0.5000 0.5000
Ho1 0.0000 0.0000 0.0000

Values from the calculation:
Theoretical density   12.1 g cm⁻³
ΔH_f (0 K)   -284 kJ/mol of formula units
N(E_F)   0.722 states/eV/f.u.
Space group   No. 216

---

Record 16
ReSnH | PBE | relaxed

a = 3.1925 Å, b = 5.1846 Å, c = 5.3061 Å
α = 84.35°, β = 72.48°, γ = 90.04°
Positions (direct):
Re1 0.7074 0.7866 0.0856
Sn1 0.4223 0.7350 0.6555
H1 0.1228 0.7406 0.2542
Re2 0.2926 0.2134 0.9144
H2 0.8772 0.2594 0.7458
Sn2 0.5777 0.2650 0.3445

Values from the calculation:
Theoretical density   12.2 g cm⁻³
N(E_F)   1.005 states/eV/f.u.
E   -6.285 eV/atom
Space group   No. 12

---

Record 17
LiMg6Rh2 | PBE | relaxed

a = 4.5999 Å, b = 4.5977 Å, c = 8.5621 Å
α = 89.98°, β = 90.00°, γ = 120.02°
Positions (direct):
Li1 0.0000 0.0000 0.5000
Rh1 0.3333 0.6667 0.2620
Mg1 0.3334 0.6667 0.9379
Mg2 0.6666 0.3333 0.0621
Rh2 0.6667 0.3333 0.7380
Mg3 0.3333 0.6666 0.5969
Mg4 0.0000 0.0001 0.1971
Mg5 0.0000 0.9999 0.8029
Mg6 0.6667 0.3334 0.4031

Values from the calculation:
Theoretical density   3.8 g cm⁻³
ΔH_f (0 K)   -268 kJ/mol of formula units
N(E_F)   4.708 states/eV/f.u.
Space group   No. 164
Energy relative to the lowest polymorph listed for this composition   0.0021 eV/atom

---

Record 18
Tb3Nd4 | PBE | relaxed

a = 3.5260 Å, b = 8.8945 Å, c = 9.3261 Å
α = 122.95°, β = 100.90°, γ = 90.00°
Positions (direct):
Tb1 0.2209 0.2974 0.4418
Nd1 0.0792 0.4532 0.1584
Tb2 0.0000 0.0000 0.0000
Tb3 0.7791 0.7026 0.5582
Nd2 0.6387 0.8701 0.2774
Nd3 0.9208 0.5468 0.8416
Nd4 0.3613 0.1299 0.7226

Values from the calculation:
Theoretical density   7.3 g cm⁻³
ΔH_f (0 K)   83 kJ/mol of formula units
N(E_F)   11.193 states/eV/f.u.
Space group   No. 12
Energy relative to the lowest polymorph listed for this composition   0.1085 eV/atom

---

Record 19
KSn3Hg2 | PBE | relaxed

a = 6.7514 Å, b = 6.7514 Å, c = 4.7640 Å
α = 90.00°, β = 90.00°, γ = 120.00°
Positions (direct):
Sn1 0.5000 0.0000 0.0000
K1 0.0000 0.0000 0.5000
Sn2 0.5000 0.5000 0.0000
Sn3 0.0000 0.5000 0.0000
Hg1 0.6667 0.3333 0.5000
Hg2 0.3333 0.6667 0.5000

Values from the calculation:
Theoretical density   7.0 g cm⁻³
ΔH_f (0 K)   -41 kJ/mol of formula units
N(E_F)   3.403 states/eV/f.u.
Space group   No. 191

---

Record 20
PaPOs | PBE | relaxed

a = 4.0707 Å, b = 4.0707 Å, c = 8.4192 Å
α = 84.58°, β = 84.58°, γ = 53.16°
Positions (direct):
Os1 0.8617 0.8617 0.8903
Pa1 0.7315 0.7315 0.3681
Os2 0.1383 0.1383 0.1097
P1 0.5563 0.5563 0.8340
Pa2 0.2685 0.2685 0.6319
P2 0.4437 0.4437 0.1660

Values from the calculation:
Theoretical density   13.5 g cm⁻³
ΔH_f (0 K)   -96 kJ/mol of formula units
N(E_F)   2.640 states/eV/f.u.
Space group   No. 12

---

Record 21
SrNbTe2 | PBE | relaxed

a = 5.2531 Å, b = 5.2531 Å, c = 5.2531 Å
α = 60.00°, β = 60.00°, γ = 60.00°
Each line ends with the local moment (μB).
Positions (direct):
Te1 0.7500 0.7500 0.7500  -0.03
Sr1 0.0000 0.0000 0.0000  0.00
Te2 0.2500 0.2500 0.2500  -0.03
Nb1 0.5000 0.5000 0.5000  0.84

Values from the calculation:
Theoretical density   7.1 g cm⁻³
Formation energy (no corrections)   -1.698 eV/f.u.
N(E_F)   4.348 states/eV/f.u.
Space group   No. 225
Energy relative to the lowest polymorph listed for this composition   0.1296 eV/atom

---

Record 22
Mn2MoAu | PBE | relaxed

a = 4.8973 Å, b = 4.8973 Å, c = 4.8973 Å
α = 134.33°, β = 134.33°, γ = 66.57°
Each line ends with the local moment (μB).
Positions (direct):
Mn1 0.2500 0.7500 0.5000  2.75
Mn2 0.0000 0.0000 0.0000  2.83
Mo1 0.5000 0.5000 0.0000  -1.26
Au1 0.7500 0.2500 0.5000  -0.02

Values from the calculation:
Theoretical density   11.3 g cm⁻³
ΔH_f (0 K)   77 kJ/mol of formula units
N(E_F)   4.051 states/eV/f.u.
Space group   No. 119
Energy relative to the lowest polymorph listed for this composition   0.0791 eV/atom

---

Record 23
Na2LiBe2F7 | PBE | relaxed

a = 7.6999 Å, b = 7.6999 Å, c = 4.8727 Å
α = 90.00°, β = 90.00°, γ = 90.00°
Positions (direct):
Na1 0.1678 0.3322 0.4966
F1 0.8568 0.3568 0.2415
F2 0.5000 0.0000 0.1810
Li1 0.0000 0.0000 0.0000
Na2 0.8322 0.6678 0.4966
F3 0.6432 0.8568 0.7585
F4 0.6863 0.4170 0.7920
F5 0.9170 0.1863 0.7920
F6 0.3137 0.5830 0.7920
F7 0.0830 0.8137 0.7920
Be1 0.6408 0.8592 0.0719
F8 0.3568 0.1432 0.7585
F9 0.4170 0.3137 0.2080
F10 0.0000 0.5000 0.8190
Be2 0.1408 0.6408 0.9281
Be3 0.8592 0.3592 0.9281
Na3 0.6678 0.1678 0.5034
Li2 0.5000 0.5000 0.0000
Be4 0.3592 0.1408 0.0719
F11 0.8137 0.9170 0.2080
F12 0.1432 0.6432 0.2415
F13 0.1863 0.0830 0.2080
Na4 0.3322 0.8322 0.5034
F14 0.5830 0.6863 0.2080

Values from the calculation:
Theoretical density   2.3 g cm⁻³
Formation energy (no corrections)   -37.070 eV/f.u.
N(E_F)   0.000 states/eV/f.u.
Space group   No. 113

---

Record 24
Si2GeMo2 | PBE | relaxed

a = 6.7428 Å, b = 6.7428 Å, c = 3.2926 Å
α = 90.00°, β = 90.00°, γ = 90.00°
Positions (direct):
Mo1 0.8347 0.3347 0.5000
Si1 0.8715 0.6285 0.0000
Mo2 0.6653 0.8347 0.5000
Ge1 0.5000 0.5000 0.0000
Si2 0.1285 0.3715 0.0000
Ge2 0.0000 0.0000 0.0000
Mo3 0.3347 0.1653 0.5000
Si3 0.6285 0.1285 0.0000
Si4 0.3715 0.8715 0.0000
Mo4 0.1653 0.6653 0.5000

Values from the calculation:
Theoretical density   7.1 g cm⁻³
Formation energy (no corrections)   -0.005 eV/f.u.
N(E_F)   3.070 states/eV/f.u.
Space group   No. 127